Entry 1:
The following is a GGA-PBE calculation of RbNa2HgOs after structural relaxation, from the Alexandria database.

CIF file:
```
data_RbNa2HgOs
_chemical_formula_sum 'Rb1 Na2 Hg1 Os1'
_space_group_name_H-M_alt 'P 4/m m m'
_space_group_IT_number 123
_space_group_name_Hall '-P 4 2'
_cell_length_a 5.646
_cell_length_b 5.646
_cell_length_c 6.407
_cell_angle_alpha 90.00
_cell_angle_beta 90.00
_cell_angle_gamma 90.00
loop_
_atom_site_label
_atom_site_type_symbol
_atom_site_fract_x
_atom_site_fract_y
_atom_site_fract_z
Rb1 Rb 0.000 0.000 0.000
Na1 Na 0.000 0.500 0.500
Hg1 Hg 0.000 0.000 0.500
Os1 Os 0.500 0.500 0.000
```

**Formation enthalpy at 0 K**: 1.316 eV per atom
**Theoretical density**: 4.25 g/cm³
**M_tot**: 2.689 μB/cell
**DFT total energy**: -1.7113 eV per atom



Entry 2:
The following is a GGA-PBE calculation of NaRe2HgOs after structural relaxation, from the Alexandria database.

CIF file:
```
data_NaRe2HgOs
_chemical_formula_sum 'Na1 Re2 Hg1 Os1'
_space_group_name_H-M_alt 'P 4/m m m'
_space_group_IT_number 123
_space_group_name_Hall '-P 4 2'
_cell_length_a 4.543
_cell_length_b 4.543
_cell_length_c 4.534
_cell_angle_alpha 90.00
_cell_angle_beta 90.00
_cell_angle_gamma 90.00
loop_
_atom_site_label
_atom_site_type_symbol
_atom_site_fract_x
_atom_site_fract_y
_atom_site_fract_z
Na1 Na 0.000 0.000 0.000
Re1 Re 0.000 0.500 0.000
Hg1 Hg 0.500 0.500 0.500
Os1 Os 0.000 0.000 0.500
```

**Formation enthalpy at 0 K**: 3.072 eV per atom
**Theoretical density**: 13.95 g/cm³
**M_tot**: 4.013 μB/cell
**DFT total energy**: -4.4777 eV per atom



Entry 3:
The following is a GGA-PBE calculation of NaHgOsSe2 after structural relaxation, from the Alexandria database.

CIF file:
```
data_NaHgOsSe2
_chemical_formula_sum 'Na1 Hg1 Os1 Se2'
_space_group_name_H-M_alt 'P 4/m m m'
_space_group_IT_number 123
_space_group_name_Hall '-P 4 2'
_cell_length_a 4.762
_cell_length_b 4.762
_cell_length_c 5.952
_cell_angle_alpha 90.00
_cell_angle_beta 90.00
_cell_angle_gamma 90.00
loop_
_atom_site_label
_atom_site_type_symbol
_atom_site_fract_x
_atom_site_fract_y
_atom_site_fract_z
Na1 Na 0.000 0.000 0.000
Hg1 Hg 0.500 0.500 0.000
Os1 Os 0.000 0.000 0.500
Se1 Se 0.000 0.500 0.500
```

**Theoretical density**: 7.03 g/cm³
**M_tot**: 0.000 μB/cell
**DFT total energy**: -3.7606 eV per atom
**Formation energy from raw total energies**: 0.20 eV per atom



Entry 4:
The following is a GGA-PBE calculation of NaTlHgOs2 after structural relaxation, from the Alexandria database.

CIF file:
```
data_NaTlHgOs2
_chemical_formula_sum 'Na1 Tl1 Hg1 Os2'
_space_group_name_H-M_alt 'P 4/m m m'
_space_group_IT_number 123
_space_group_name_Hall '-P 4 2'
_cell_length_a 5.055
_cell_length_b 5.055
_cell_length_c 5.205
_cell_angle_alpha 90.00
_cell_angle_beta 90.00
_cell_angle_gamma 90.00
loop_
_atom_site_label
_atom_site_type_symbol
_atom_site_fract_x
_atom_site_fract_y
_atom_site_fract_z
Na1 Na 0.000 0.000 0.000
Tl1 Tl 0.000 0.000 0.500
Hg1 Hg 0.500 0.500 0.000
Os1 Os 0.000 0.500 0.500
```

**Formation enthalpy at 0 K**: 2.068 eV per atom
**Theoretical density**: 10.09 g/cm³
**M_tot**: 2.661 μB/cell
**DFT total energy**: -3.2217 eV per atom



Entry 5:
The following is a GGA-PBE calculation of NaV2HgOs after structural relaxation, from the Alexandria database.

CIF file:
```
data_NaV2HgOs
_chemical_formula_sum 'Na1 V2 Hg1 Os1'
_space_group_name_H-M_alt 'P 4/m m m'
_space_group_IT_number 123
_space_group_name_Hall '-P 4 2'
_cell_length_a 4.912
_cell_length_b 4.912
_cell_length_c 5.079
_cell_angle_alpha 90.00
_cell_angle_beta 90.00
_cell_angle_gamma 90.00
loop_
_atom_site_label
_atom_site_type_symbol
_atom_site_fract_x
_atom_site_fract_y
_atom_site_fract_z
Na1 Na 0.000 0.000 0.000
V1 V 0.000 0.500 0.500
Hg1 Hg 0.500 0.500 0.500
Os1 Os 0.500 0.500 0.000
```

**Formation enthalpy at 0 K**: 2.178 eV per atom
**Theoretical density**: 6.99 g/cm³
**M_tot**: 0.928 μB/cell
**DFT total energy**: -4.0391 eV per atom



Entry 6:
The following is a GGA-PBE calculation of Na2YHgOs after structural relaxation, from the Alexandria database.

CIF file:
```
data_Na2YHgOs
_chemical_formula_sum 'Na2 Y1 Hg1 Os1'
_space_group_name_H-M_alt 'P 4/m m m'
_space_group_IT_number 123
_space_group_name_Hall '-P 4 2'
_cell_length_a 5.548
_cell_length_b 5.548
_cell_length_c 5.041
_cell_angle_alpha 90.00
_cell_angle_beta 90.00
_cell_angle_gamma 90.00
loop_
_atom_site_label
_atom_site_type_symbol
_atom_site_fract_x
_atom_site_fract_y
_atom_site_fract_z
Na1 Na 0.000 0.500 0.000
Y1 Y 0.000 0.000 0.500
Hg1 Hg 0.500 0.500 0.500
Os1 Os 0.000 0.000 0.000
```

**Formation enthalpy at 0 K**: 0.669 eV per atom
**Theoretical density**: 5.63 g/cm³
**M_tot**: 0.000 μB/cell
**DFT total energy**: -3.4577 eV per atom



Question: What is the theoretical density in the third record?
Answer: 7.03 g/cm³